Record 1
A plane-wave DFT calculation with PBE was carried out for crystalline TaSi4O2 at its relaxed geometry.

Computed properties:
formation energy (no corrections): -0.1604 eV per atom

Lattice parameters (Å, degrees): 4.873 4.873 13.753 90.00 90.00 90.00
Space group I4/mmm (No. 139)
Unique sites:
Ta  0.000  0.000  0.000
Si  0.000  0.000  0.177
Si  0.000  0.500  0.000
O  0.000  0.000  0.289

***

Record 2
A plane-wave DFT calculation with PBE was carried out for crystalline Ho6AlFe2 at its relaxed geometry.

Computed properties:
calculated formation energy: -138 meV per atom

Lattice parameters (Å, degrees): 9.362 9.474 9.908 90.00 90.00 90.00
Space group Immm (No. 71)
Unique sites:
Ho  0.000  0.208  0.231
Ho  0.204  0.500  0.186
Ho  0.215  0.313  0.500
Al  0.000  0.000  0.000
Al  0.000  0.000  0.500
Fe  0.000  0.382  0.000
Fe  0.000  0.500  0.391

***

What did we get for calculated volume? Answer: 326.55 878.86 Å³ per cell, in the order shown.
What did we get for final energy? Answer: -89.167 -197.493 eV for the cell shown, in the order shown.